# Sr4PSI2 PBE optimized geometry
data_Sr4PSI2
_cell_length_a 7.716
_cell_length_b 4.472
_cell_length_c 8.178
_cell_angle_alpha 90.00
_cell_angle_beta 108.40
_cell_angle_gamma 90.00
_symmetry_space_group_name_H-M 'P 1 2/m 1'
_symmetry_Int_Tables_number 10
_symmetry_space_group_name_Hall '-P 2y'
loop_
_atom_site_label
_atom_site_type_symbol
_atom_site_fract_x
_atom_site_fract_y
_atom_site_fract_z
Sr1 Sr 0.229 0.000 0.199
Sr2 Sr 0.263 0.500 0.800
P1 P 0.000 0.500 0.000
S1 S 0.500 0.000 0.000
I1 I 0.000 0.000 0.500
I2 I 0.500 0.500 0.500
# electronic total energy: -3.958 eV/atom
# calculated density: 4.14 g cm⁻³
# density of states at the Fermi level: 0.3925 states/eV/atom

# SrP2SI PBE optimized geometry
data_SrP2SI
_cell_length_a 6.002
_cell_length_b 6.002
_cell_length_c 5.548
_cell_angle_alpha 90.00
_cell_angle_beta 90.00
_cell_angle_gamma 90.00
_symmetry_space_group_name_H-M 'P 4/m m m'
_symmetry_Int_Tables_number 123
_symmetry_space_group_name_Hall '-P 4 2'
loop_
_atom_site_label
_atom_site_type_symbol
_atom_site_fract_x
_atom_site_fract_y
_atom_site_fract_z
Sr1 Sr 0.000 0.000 0.000
P1 P 0.000 0.500 0.000
S1 S 0.000 0.000 0.500
I1 I 0.500 0.500 0.500
# electronic total energy: -2.676 eV/atom
# calculated density: 2.56 g cm⁻³
# density of states at the Fermi level: 1.4402 states/eV/atom
# ΔE to the lowest computed polymorph: 13.402 kcal/mol of atoms

# SrPS2I PBE optimized geometry
data_SrPS2I
_cell_length_a 5.156
_cell_length_b 5.156
_cell_length_c 5.184
_cell_angle_alpha 90.00
_cell_angle_beta 90.00
_cell_angle_gamma 90.00
_symmetry_space_group_name_H-M 'P 4/m m m'
_symmetry_Int_Tables_number 123
_symmetry_space_group_name_Hall '-P 4 2'
loop_
_atom_site_label
_atom_site_type_symbol
_atom_site_fract_x
_atom_site_fract_y
_atom_site_fract_z
Sr1 Sr 0.000 0.000 0.000
P1 P 0.500 0.500 0.000
S1 S 0.000 0.500 0.500
I1 I 0.500 0.500 0.500
# electronic total energy: -3.307 eV/atom
# calculated density: 3.73 g cm⁻³
# density of states at the Fermi level: 0.6279 states/eV/atom
# ΔE to the lowest computed polymorph: 0.000 kcal/mol of atoms

# SrPS2I PBE optimized geometry
data_SrPS2I
_cell_length_a 5.672
_cell_length_b 5.672
_cell_length_c 6.174
_cell_angle_alpha 90.00
_cell_angle_beta 90.00
_cell_angle_gamma 90.00
_symmetry_space_group_name_H-M 'P 4/m m m'
_symmetry_Int_Tables_number 123
_symmetry_space_group_name_Hall '-P 4 2'
loop_
_atom_site_label
_atom_site_type_symbol
_atom_site_fract_x
_atom_site_fract_y
_atom_site_fract_z
Sr1 Sr 0.000 0.000 0.000
P1 P 0.000 0.000 0.500
S1 S 0.000 0.500 0.000
I1 I 0.500 0.500 0.500
# electronic total energy: -2.734 eV/atom
# calculated density: 2.59 g cm⁻³
# density of states at the Fermi level: 1.3864 states/eV/atom
# ΔE to the lowest computed polymorph: 13.198 kcal/mol of atoms

# SrP2SI PBE optimized geometry
data_SrP2SI
_cell_length_a 5.189
_cell_length_b 5.189
_cell_length_c 5.190
_cell_angle_alpha 90.00
_cell_angle_beta 90.00
_cell_angle_gamma 90.00
_symmetry_space_group_name_H-M 'P 4/m m m'
_symmetry_Int_Tables_number 123
_symmetry_space_group_name_Hall '-P 4 2'
loop_
_atom_site_label
_atom_site_type_symbol
_atom_site_fract_x
_atom_site_fract_y
_atom_site_fract_z
Sr1 Sr 0.000 0.000 0.000
P1 P 0.000 0.500 0.500
S1 S 0.500 0.500 0.000
I1 I 0.500 0.500 0.500
# electronic total energy: -3.257 eV/atom
# calculated density: 3.67 g cm⁻³
# density of states at the Fermi level: 0.9226 states/eV/atom
# ΔE to the lowest computed polymorph: 0.000 kcal/mol of atoms

# Sr6P2SI3 PBE optimized geometry
data_Sr6P2SI3
_cell_length_a 7.770
_cell_length_b 13.460
_cell_length_c 8.219
_cell_angle_alpha 90.00
_cell_angle_beta 108.35
_cell_angle_gamma 90.00
_symmetry_space_group_name_H-M 'C 1 2/m 1'
_symmetry_Int_Tables_number 12
_symmetry_space_group_name_Hall '-C 2y'
loop_
_atom_site_label
_atom_site_type_symbol
_atom_site_fract_x
_atom_site_fract_y
_atom_site_fract_z
Sr1 Sr 0.228 0.000 0.197
Sr2 Sr 0.235 0.331 0.198
P1 P 0.000 0.167 0.000
S1 S 0.000 0.500 0.000
I1 I 0.000 0.000 0.500
I2 I 0.000 0.335 0.500
# electronic total energy: -3.983 eV/atom
# calculated density: 4.07 g cm⁻³
# density of states at the Fermi level: 0.3191 states/eV/atom

# TaP2SI PBE optimized geometry
data_TaP2SI
_cell_length_a 4.988
_cell_length_b 4.988
_cell_length_c 4.834
_cell_angle_alpha 90.00
_cell_angle_beta 90.00
_cell_angle_gamma 90.00
_symmetry_space_group_name_H-M 'P 4/m m m'
_symmetry_Int_Tables_number 123
_symmetry_space_group_name_Hall '-P 4 2'
loop_
_atom_site_label
_atom_site_type_symbol
_atom_site_fract_x
_atom_site_fract_y
_atom_site_fract_z
Ta1 Ta 0.000 0.000 0.000
P1 P 0.000 0.500 0.500
S1 S 0.500 0.500 0.000
I1 I 0.500 0.500 0.500
# electronic total energy: -3.821 eV/atom
# calculated density: 5.55 g cm⁻³
# density of states at the Fermi level: 0.7776 states/eV/atom
# ΔE to the lowest computed polymorph: 37.413 kcal/mol of atoms

# TaP2SI PBE optimized geometry
data_TaP2SI
_cell_length_a 4.990
_cell_length_b 4.990
_cell_length_c 4.671
_cell_angle_alpha 90.00
_cell_angle_beta 90.00
_cell_angle_gamma 90.00
_symmetry_space_group_name_H-M 'P 4/m m m'
_symmetry_Int_Tables_number 123
_symmetry_space_group_name_Hall '-P 4 2'
loop_
_atom_site_label
_atom_site_type_symbol
_atom_site_fract_x
_atom_site_fract_y
_atom_site_fract_z
Ta1 Ta 0.000 0.000 0.000
P1 P 0.000 0.500 0.000
S1 S 0.000 0.000 0.500
I1 I 0.500 0.500 0.500
# electronic total energy: -5.443 eV/atom
# calculated density: 5.74 g cm⁻³
# density of states at the Fermi level: 0.5528 states/eV/atom
# ΔE to the lowest computed polymorph: 0.000 kcal/mol of atoms

# TcP2SI PBE optimized geometry
data_TcP2SI
_cell_length_a 5.129
_cell_length_b 5.129
_cell_length_c 4.953
_cell_angle_alpha 90.00
_cell_angle_beta 90.00
_cell_angle_gamma 90.00
_symmetry_space_group_name_H-M 'P 4/m m m'
_symmetry_Int_Tables_number 123
_symmetry_space_group_name_Hall '-P 4 2'
loop_
_atom_site_label
_atom_site_type_symbol
_atom_site_fract_x
_atom_site_fract_y
_atom_site_fract_z
Tc1 Tc 0.000 0.000 0.000
P1 P 0.000 0.500 0.500
S1 S 0.500 0.500 0.000
I1 I 0.500 0.500 0.500
# electronic total energy: -3.461 eV/atom
# calculated density: 4.06 g cm⁻³
# density of states at the Fermi level: 0.6976 states/eV/atom
# ΔE to the lowest computed polymorph: 34.171 kcal/mol of atoms

# TcP2SI PBE optimized geometry
data_TcP2SI
_cell_length_a 4.772
_cell_length_b 4.772
_cell_length_c 4.554
_cell_angle_alpha 90.00
_cell_angle_beta 90.00
_cell_angle_gamma 90.00
_symmetry_space_group_name_H-M 'P 4/m m m'
_symmetry_Int_Tables_number 123
_symmetry_space_group_name_Hall '-P 4 2'
loop_
_atom_site_label
_atom_site_type_symbol
_atom_site_fract_x
_atom_site_fract_y
_atom_site_fract_z
Tc1 Tc 0.000 0.000 0.000
P1 P 0.000 0.500 0.000
S1 S 0.000 0.000 0.500
I1 I 0.500 0.500 0.500
# electronic total energy: -4.943 eV/atom
# calculated density: 5.11 g cm⁻³
# density of states at the Fermi level: 1.1383 states/eV/atom
# ΔE to the lowest computed polymorph: 0.000 kcal/mol of atoms

# TePS4I PBE optimized geometry
data_TePS4I
_cell_length_a 18.273
_cell_length_b 6.464
_cell_length_c 9.169
_cell_angle_alpha 90.00
_cell_angle_beta 112.13
_cell_angle_gamma 90.00
_symmetry_space_group_name_H-M 'C 1 2/m 1'
_symmetry_Int_Tables_number 12
_symmetry_space_group_name_Hall '-C 2y'
loop_
_atom_site_label
_atom_site_type_symbol
_atom_site_fract_x
_atom_site_fract_y
_atom_site_fract_z
Te1 Te 0.144 0.000 0.347
P1 P 0.221 0.000 0.722
S1 S 0.161 0.500 0.216
S2 S 0.165 0.245 0.564
S3 S 0.190 0.000 0.908
I1 I 0.026 0.000 0.779
# electronic total energy: -3.821 eV/atom
# calculated density: 2.74 g cm⁻³

# ThPS4I PBE optimized geometry
data_ThPS4I
_cell_length_a 11.604
_cell_length_b 8.762
_cell_length_c 7.947
_cell_angle_alpha 90.00
_cell_angle_beta 103.46
_cell_angle_gamma 90.00
_symmetry_space_group_name_H-M 'C 1 2/m 1'
_symmetry_Int_Tables_number 12
_symmetry_space_group_name_Hall '-C 2y'
loop_
_atom_site_label
_atom_site_type_symbol
_atom_site_fract_x
_atom_site_fract_y
_atom_site_fract_z
Th1 Th 0.228 0.000 0.131
P1 P 0.135 0.500 0.271
S1 S 0.031 0.500 0.698
S2 S 0.170 0.324 0.106
S3 S 0.241 0.000 0.503
I1 I 0.024 0.000 0.774
# electronic total energy: -5.250 eV/atom
# calculated density: 4.38 g cm⁻³

# Tl5PS4I2 PBE optimized geometry
data_Tl5PS4I2
_cell_length_a 9.717
_cell_length_b 10.036
_cell_length_c 8.985
_cell_angle_alpha 90.00
_cell_angle_beta 90.00
_cell_angle_gamma 90.00
_symmetry_space_group_name_H-M 'A m m 2'
_symmetry_Int_Tables_number 38
_symmetry_space_group_name_Hall 'A 2 -2'
loop_
_atom_site_label
_atom_site_type_symbol
_atom_site_fract_x
_atom_site_fract_y
_atom_site_fract_z
Tl1 Tl 0.000 0.000 0.000
Tl2 Tl 0.280 0.201 0.549
P1 P 0.500 0.000 0.955
S1 S 0.327 0.000 0.090
S2 S 0.500 0.171 0.829
I1 I 0.000 0.224 0.286
# electronic total energy: -3.543 eV/atom
# calculated density: 5.44 g cm⁻³
# density of states at the Fermi level: 0.0000 states/eV/atom

# VP2SI PBE optimized geometry
data_VP2SI
_cell_length_a 4.772
_cell_length_b 4.772
_cell_length_c 4.423
_cell_angle_alpha 90.00
_cell_angle_beta 90.00
_cell_angle_gamma 90.00
_symmetry_space_group_name_H-M 'P 4/m m m'
_symmetry_Int_Tables_number 123
_symmetry_space_group_name_Hall '-P 4 2'
loop_
_atom_site_label
_atom_site_type_symbol
_atom_site_fract_x
_atom_site_fract_y
_atom_site_fract_z
V1 V 0.000 0.000 0.000
P1 P 0.000 0.500 0.000
S1 S 0.000 0.000 0.500
I1 I 0.500 0.500 0.500
# electronic total energy: -4.877 eV/atom
# calculated density: 4.48 g cm⁻³
# density of states at the Fermi level: 0.3870 states/eV/atom
# ΔE to the lowest computed polymorph: 0.000 kcal/mol of atoms

# VP2SI PBE optimized geometry
data_VP2SI
_cell_length_a 5.100
_cell_length_b 5.100
_cell_length_c 4.969
_cell_angle_alpha 90.00
_cell_angle_beta 90.00
_cell_angle_gamma 90.00
_symmetry_space_group_name_H-M 'P 4/m m m'
_symmetry_Int_Tables_number 123
_symmetry_space_group_name_Hall '-P 4 2'
loop_
_atom_site_label
_atom_site_type_symbol
_atom_site_fract_x
_atom_site_fract_y
_atom_site_fract_z
V1 V 0.000 0.000 0.000
P1 P 0.000 0.500 0.500
S1 S 0.500 0.500 0.000
I1 I 0.500 0.500 0.500
# electronic total energy: -3.546 eV/atom
# calculated density: 3.49 g cm⁻³
# density of states at the Fermi level: 1.1217 states/eV/atom
# ΔE to the lowest computed polymorph: 30.684 kcal/mol of atoms

# YPS2I PBE optimized geometry
data_YPS2I
_cell_length_a 4.954
_cell_length_b 4.954
_cell_length_c 5.214
_cell_angle_alpha 90.00
_cell_angle_beta 90.00
_cell_angle_gamma 90.00
_symmetry_space_group_name_H-M 'P 4/m m m'
_symmetry_Int_Tables_number 123
_symmetry_space_group_name_Hall '-P 4 2'
loop_
_atom_site_label
_atom_site_type_symbol
_atom_site_fract_x
_atom_site_fract_y
_atom_site_fract_z
Y1 Y 0.000 0.000 0.000
P1 P 0.500 0.500 0.000
S1 S 0.000 0.500 0.500
I1 I 0.500 0.500 0.500
# electronic total energy: -4.022 eV/atom
# calculated density: 4.03 g cm⁻³
# density of states at the Fermi level: 0.0747 states/eV/atom
# ΔE to the lowest computed polymorph: 5.173 kcal/mol of atoms

# YPS2I PBE optimized geometry
data_YPS2I
_cell_length_a 5.147
_cell_length_b 5.147
_cell_length_c 5.819
_cell_angle_alpha 90.00
_cell_angle_beta 90.00
_cell_angle_gamma 90.00
_symmetry_space_group_name_H-M 'P 4/m m m'
_symmetry_Int_Tables_number 123
_symmetry_space_group_name_Hall '-P 4 2'
loop_
_atom_site_label
_atom_site_type_symbol
_atom_site_fract_x
_atom_site_fract_y
_atom_site_fract_z
Y1 Y 0.000 0.000 0.000
P1 P 0.000 0.000 0.500
S1 S 0.000 0.500 0.000
I1 I 0.500 0.500 0.500
# electronic total energy: -4.247 eV/atom
# calculated density: 3.35 g cm⁻³
# density of states at the Fermi level: 1.2715 states/eV/atom
# ΔE to the lowest computed polymorph: 0.000 kcal/mol of atoms

# YPS4I PBE optimized geometry
data_YPS4I
_cell_length_a 13.543
_cell_length_b 7.889
_cell_length_c 8.848
_cell_angle_alpha 90.00
_cell_angle_beta 103.44
_cell_angle_gamma 90.00
_symmetry_space_group_name_H-M 'C 1 2/m 1'
_symmetry_Int_Tables_number 12
_symmetry_space_group_name_Hall '-C 2y'
loop_
_atom_site_label
_atom_site_type_symbol
_atom_site_fract_x
_atom_site_fract_y
_atom_site_fract_z
Y1 Y 0.162 0.000 0.009
P1 P 0.151 0.500 0.242
S1 S 0.003 0.500 0.881
S2 S 0.143 0.500 0.456
S3 S 0.231 0.305 0.156
I1 I 0.025 0.000 0.244
# electronic total energy: -5.048 eV/atom
# calculated density: 2.71 g cm⁻³
# density of states at the Fermi level: 0.0000 states/eV/atom

# ZnP2SI PBE optimized geometry
data_ZnP2SI
_cell_length_a 4.885
_cell_length_b 4.885
_cell_length_c 4.491
_cell_angle_alpha 90.00
_cell_angle_beta 90.00
_cell_angle_gamma 90.00
_symmetry_space_group_name_H-M 'P 4/m m m'
_symmetry_Int_Tables_number 123
_symmetry_space_group_name_Hall '-P 4 2'
loop_
_atom_site_label
_atom_site_type_symbol
_atom_site_fract_x
_atom_site_fract_y
_atom_site_fract_z
Zn1 Zn 0.000 0.000 0.000
P1 P 0.000 0.500 0.000
S1 S 0.000 0.000 0.500
I1 I 0.500 0.500 0.500
# electronic total energy: -2.685 eV/atom
# calculated density: 4.44 g cm⁻³
# density of states at the Fermi level: 0.8260 states/eV/atom
# ΔE to the lowest computed polymorph: 0.000 kcal/mol of atoms

# ZnP2SI PBE optimized geometry
data_ZnP2SI
_cell_length_a 5.247
_cell_length_b 5.247
_cell_length_c 5.037
_cell_angle_alpha 90.00
_cell_angle_beta 90.00
_cell_angle_gamma 90.00
_symmetry_space_group_name_H-M 'P 4/m m m'
_symmetry_Int_Tables_number 123
_symmetry_space_group_name_Hall '-P 4 2'
loop_
_atom_site_label
_atom_site_type_symbol
_atom_site_fract_x
_atom_site_fract_y
_atom_site_fract_z
Zn1 Zn 0.000 0.000 0.000
P1 P 0.000 0.500 0.500
S1 S 0.500 0.500 0.000
I1 I 0.500 0.500 0.500
# electronic total energy: -2.139 eV/atom
# calculated density: 3.43 g cm⁻³
# density of states at the Fermi level: 0.7542 states/eV/atom
# ΔE to the lowest computed polymorph: 12.591 kcal/mol of atoms

Calculated energy relative to the elements, uncorrected in order - -12.30 4.80 0.36 3.22 1.89 -18.10 9.25 1.13 9.56 2.15 -0.13 -5.86 -5.67 1.23 7.88 1.57 0.45 -5.40 4.35 7.08 eV/f.u.